Record 1
The following is a DFT calculation (GGA-PBE) of La3CeY2P6 after structural relaxation.

VASP energy (eV/atom): -7.087

The structure in POSCAR format:
```
La3CeY2P6
1.0
-0.260 -2.605 -6.692
4.366 -3.001 4.856
-6.345 -2.382 2.460
La Ce Y P
3 1 2 6
Direct
0.167 0.833 0.500 La
0.833 0.167 0.500 La
0.500 0.500 0.500 La
0.000 0.000 0.000 Ce
0.333 0.667 0.000 Y
0.667 0.333 0.000 Y
0.921 0.589 0.764 P
0.746 0.746 0.236 P
0.079 0.411 0.236 P
0.589 0.921 0.764 P
0.254 0.254 0.764 P
0.411 0.079 0.236 P
```

=====

Record 2
The following is a DFT calculation (GGA-PBE) of Cd4Hg2Bi3 after structural relaxation.

Offset from the most stable computed form (meV/atom): 12

The structure in POSCAR format:
```
Cd4Hg2Bi3
1.0
5.900 -0.561 -0.401
-0.390 9.293 -0.966
-0.390 2.079 9.109
Cd Hg Bi
8 4 6
Direct
0.424 0.876 0.311 Cd
0.076 0.689 0.124 Cd
0.576 0.124 0.689 Cd
0.924 0.311 0.876 Cd
0.100 0.194 0.487 Cd
0.400 0.513 0.806 Cd
0.900 0.806 0.513 Cd
0.600 0.487 0.194 Cd
0.547 0.182 0.353 Hg
0.953 0.647 0.818 Hg
0.453 0.818 0.647 Hg
0.047 0.353 0.182 Hg
0.932 0.986 0.225 Bi
0.568 0.775 0.014 Bi
0.068 0.014 0.775 Bi
0.432 0.225 0.986 Bi
0.250 0.548 0.452 Bi
0.750 0.452 0.548 Bi
```

=====

Record 3
The following is a DFT calculation (GGA-PBE) of Fe3N after structural relaxation.

Uncorrected formation energy (meV/atom): 53.7

The structure in POSCAR format:
```
Fe3N
1.0
4.477 0.000 0.000
0.000 4.928 0.000
0.000 0.000 7.061
Fe N
12 4
Direct
0.683 0.556 0.250 Fe
0.817 0.056 0.250 Fe
0.317 0.444 0.750 Fe
0.183 0.944 0.750 Fe
0.186 0.673 0.424 Fe
0.314 0.173 0.076 Fe
0.814 0.327 0.924 Fe
0.686 0.827 0.576 Fe
0.814 0.327 0.576 Fe
0.686 0.827 0.924 Fe
0.186 0.673 0.076 Fe
0.314 0.173 0.424 Fe
0.435 0.881 0.250 N
0.065 0.381 0.250 N
0.565 0.119 0.750 N
0.935 0.619 0.750 N
```

=====

Record 4
The following is a DFT calculation (GGA-PBE) of Cr2SiAu after structural relaxation.

Uncorrected formation energy (meV/atom): 125.0

The structure in POSCAR format:
```
Cr2SiAu
1.0
-0.334 -1.022 -2.571
2.746 -0.437 -0.183
-0.841 -6.392 2.649
Au Cr Si
1 2 1
Direct
0.500 0.500 0.750 Au
0.000 0.000 0.035 Cr
0.000 0.000 0.465 Cr
0.500 0.500 0.250 Si
```

=====

Record 5
The following is a DFT calculation (GGA-PBE) of Rb2HgPSe after structural relaxation.

Uncorrected formation energy (meV/atom): -33.3

The structure in POSCAR format:
```
Rb2HgPSe
1.0
-3.071 -0.674 6.059
-1.553 -6.474 -1.507
4.011 -1.399 1.877
P Se Hg Rb
1 1 1 2
Direct
0.000 0.000 0.500 P
0.500 0.500 0.500 Se
0.000 0.000 0.000 Hg
0.000 0.500 0.000 Rb
0.500 0.000 0.000 Rb
```

=====

Record 6
The following is a DFT calculation (GGA-PBE) of Ti4GaTc3 after structural relaxation.

VASP energy (eV/atom): -8.752

The structure in POSCAR format:
```
Ti4GaTc3
1.0
-2.860 1.232 0.546
-1.270 -2.892 -0.128
1.734 -1.293 12.003
Tc Ga Ti
3 1 4
Direct
0.500 0.500 0.244 Tc
0.500 0.500 0.500 Tc
0.500 0.500 0.756 Tc
0.500 0.500 0.000 Ga
0.000 0.000 0.868 Ti
0.000 0.000 0.132 Ti
0.000 0.000 0.376 Ti
0.000 0.000 0.624 Ti
```

=====

Record 7
The following is a DFT calculation (GGA-PBE) of CsKW3 after structural relaxation.

Offset from the most stable computed form (meV/atom): 0

The structure in POSCAR format:
```
CsKW3
1.0
-1.650 4.084 2.534
-4.631 -0.633 -1.994
-1.287 -2.956 3.927
Cs K W
1 1 3
Direct
0.000 0.000 0.000 Cs
0.500 0.500 0.500 K
0.000 0.500 0.000 W
0.000 0.000 0.500 W
0.500 0.000 0.000 W
```

=====

Record 8
The following is a DFT calculation (GGA-PBE) of Ac2GdGa after structural relaxation.

Offset from the most stable computed form (meV/atom): 0

The structure in POSCAR format:
```
Ac2GdGa
1.0
-1.206 -3.757 0.127
2.772 -0.979 -2.635
5.745 -1.621 6.646
Ac Gd Ga
2 1 1
Direct
0.000 0.000 0.791 Ac
0.000 0.000 0.209 Ac
0.500 0.500 0.500 Gd
0.500 0.500 0.000 Ga
```

=====

Record 9
The following is a DFT calculation (GGA-PBE) of Ca3Dy3HoS8 after structural relaxation.

Uncorrected formation energy (meV/atom): -2092.8

The structure in POSCAR format:
```
Ca3Dy3HoS8
1.0
-6.479 -3.147 3.175
0.687 0.538 -7.823
4.497 -5.228 3.996
Ca Dy Ho S
3 3 1 8
Direct
0.000 0.000 0.000 Ca
0.000 0.500 0.000 Ca
0.500 0.500 0.000 Ca
0.500 0.000 0.500 Dy
0.500 0.500 0.500 Dy
0.000 0.500 0.500 Dy
0.000 0.000 0.500 Ho
0.252 0.504 0.256 S
0.748 0.496 0.744 S
0.755 0.511 0.262 S
0.245 0.489 0.738 S
0.756 0.007 0.262 S
0.244 0.993 0.738 S
0.251 0.007 0.262 S
0.749 0.993 0.738 S
```

=====

Record 10
The following is a DFT calculation (GGA-PBE) of La2Sm15Sc2 after structural relaxation.

VASP energy (eV/atom): -4.658

The structure in POSCAR format:
```
La2Sm15Sc2
1.0
6.741 -5.673 -0.222
6.741 5.673 -0.222
2.255 0.000 8.520
La Sm Sc
2 15 2
Direct
0.679 0.679 0.679 La
0.321 0.321 0.321 La
0.500 0.000 0.000 Sm
0.000 0.000 0.500 Sm
0.000 0.500 0.000 Sm
0.000 0.291 0.709 Sm
0.291 0.709 0.000 Sm
0.709 0.000 0.291 Sm
0.709 0.291 0.000 Sm
0.291 0.000 0.709 Sm
0.000 0.709 0.291 Sm
0.851 0.367 0.367 Sm
0.367 0.367 0.851 Sm
0.367 0.851 0.367 Sm
0.149 0.633 0.633 Sm
0.633 0.633 0.149 Sm
0.633 0.149 0.633 Sm
0.910 0.910 0.910 Sc
0.090 0.090 0.090 Sc
```

=====

Record 11
The following is a DFT calculation (GGA-PBE) of AlCdSe2 after structural relaxation.

Offset from the most stable computed form (meV/atom): 0
Uncorrected formation energy (meV/atom): -525.9

The structure in POSCAR format:
```
AlCdSe2
1.0
-0.479 0.749 3.765
2.951 -0.488 2.453
2.733 6.468 1.047
Al Se Cd
1 2 1
Direct
0.750 0.750 0.750 Al
0.012 0.012 0.964 Se
0.488 0.488 0.536 Se
0.250 0.250 0.250 Cd
```

=====

Record 12
The following is a DFT calculation (GGA-PBE) of Dy8Er6Cd after structural relaxation.

VASP energy (eV/atom): -4.235

The structure in POSCAR format:
```
Dy8Er6Cd
1.0
6.221 0.000 0.000
0.000 8.072 -4.660
0.000 0.000 9.320
Dy Er Cd
8 6 1
Direct
0.810 0.041 0.267 Dy
0.810 0.733 0.774 Dy
0.810 0.226 0.959 Dy
0.190 0.959 0.733 Dy
0.190 0.267 0.226 Dy
0.190 0.774 0.041 Dy
0.809 0.333 0.667 Dy
0.191 0.667 0.333 Dy
0.687 0.638 0.094 Er
0.687 0.906 0.544 Er
0.687 0.456 0.362 Er
0.313 0.362 0.906 Er
0.313 0.094 0.456 Er
0.313 0.544 0.638 Er
0.500 0.000 0.000 Cd
```

=====

Record 13
The following is a DFT calculation (GGA-PBE) of HgAsIr2 after structural relaxation.

Offset from the most stable computed form (meV/atom): 103

The structure in POSCAR format:
```
HgAsIr2
1.0
4.651 0.000 0.000
0.000 2.999 -0.031
0.000 0.230 5.042
As Ir Hg
1 2 1
Direct
0.000 0.366 0.459 As
0.000 0.888 0.080 Ir
0.500 0.375 0.224 Ir
0.500 0.870 0.737 Hg
```

=====

Record 14
The following is a DFT calculation (GGA-PBE) of CsIn2SnIr after structural relaxation.

VASP energy (eV/atom): -3.884

The structure in POSCAR format:
```
CsIn2SnIr
1.0
-0.157 3.348 4.228
-4.014 -2.898 2.145
3.586 -3.070 2.564
Cs Ir Sn In
1 1 1 2
Direct
0.500 0.500 0.500 Cs
0.000 0.000 0.000 Ir
0.000 0.000 0.500 Sn
0.000 0.500 0.000 In
0.500 0.000 0.000 In
```

=====

Record 15
The following is a DFT calculation (GGA-PBE) of CoHg2Br after structural relaxation.

Offset from the most stable computed form (meV/atom): 0
Uncorrected formation energy (meV/atom): 92.8

The structure in POSCAR format:
```
CoHg2Br
1.0
-7.235 4.941 2.837
-8.823 1.907 1.821
-7.374 2.161 5.076
Br Co Hg
1 1 2
Direct
0.470 0.470 0.470 Br
0.754 0.754 0.754 Co
0.020 0.020 0.020 Hg
0.257 0.257 0.257 Hg
```

=====

Record 16
The following is a DFT calculation (GGA-PBE) of V8Rh after structural relaxation.

VASP energy (eV/atom): -9.093

The structure in POSCAR format:
```
V8Rh
1.0
2.995 0.000 0.000
1.497 6.353 0.000
1.497 0.000 6.353
V Rh
8 1
Direct
0.669 0.000 0.661 V
0.331 0.000 0.339 V
0.333 0.667 0.667 V
0.669 0.661 0.000 V
0.000 0.667 0.333 V
0.331 0.339 0.000 V
0.667 0.333 0.333 V
0.000 0.333 0.667 V
0.000 0.000 0.000 Rh
```

=====

Record 17
The following is a DFT calculation (GGA-PBE) of PrNd2ErMg after structural relaxation.

VASP energy (eV/atom): -4.076

The structure in POSCAR format:
```
PrNd2ErMg
1.0
5.711 0.000 0.000
0.000 6.173 1.091
0.000 1.634 9.434
Pr Nd Er Mg
2 4 2 2
Direct
0.750 0.353 0.612 Pr
0.250 0.647 0.388 Pr
0.750 0.743 0.803 Nd
0.250 0.257 0.197 Nd
0.250 0.015 0.609 Nd
0.750 0.985 0.391 Nd
0.250 0.840 0.002 Er
0.750 0.160 0.998 Er
0.750 0.584 0.191 Mg
0.250 0.416 0.809 Mg
```

=====

Record 18
The following is a DFT calculation (GGA-PBE) of VNi2Sn after structural relaxation.

VASP energy (eV/atom): -6.236

The structure in POSCAR format:
```
VNi2Sn
1.0
3.160 0.000 0.000
0.000 3.160 0.000
0.000 0.000 5.712
Ni Sn V
2 1 1
Direct
0.000 0.000 0.785 Ni
0.000 0.000 0.215 Ni
0.500 0.500 0.500 Sn
0.500 0.500 0.000 V
```

=====

Record 19
The following is a DFT calculation (GGA-PBE) of ThZrRe4 after structural relaxation.

VASP energy (eV/atom): -11.054

The structure in POSCAR format:
```
ThZrRe4
1.0
-3.113 -2.882 3.401
-2.218 -4.681 -1.651
1.809 -4.720 2.002
Re Zr Th
4 1 1
Direct
0.625 0.625 0.124 Re
0.625 0.124 0.625 Re
0.625 0.625 0.625 Re
0.124 0.625 0.625 Re
0.000 0.000 0.000 Zr
0.250 0.250 0.250 Th
```

=====

Record 20
The following is a DFT calculation (GGA-PBE) of LaTc2Rh after structural relaxation.

Offset from the most stable computed form (meV/atom): 207

The structure in POSCAR format:
```
LaTc2Rh
1.0
-5.541 -0.151 2.341
-1.939 -3.998 4.057
3.662 4.439 -1.756
La Rh Tc
1 1 2
Direct
0.750 0.250 0.500 La
0.250 0.750 0.500 Rh
0.030 0.030 0.000 Tc
0.470 0.470 0.000 Tc
```

=====

Record 21
The following is a DFT calculation (GGA-PBE) of Rb3NiBr6 after structural relaxation.

Offset from the most stable computed form (meV/atom): 28
Uncorrected formation energy (meV/atom): -1081.3

The structure in POSCAR format:
```
Rb3NiBr6
1.0
-5.217 5.405 -2.917
-4.324 -5.950 -3.291
-7.852 -0.672 1.667
Ni Br Rb
1 6 3
Direct
0.500 0.500 0.000 Ni
0.283 0.283 0.434 Br
0.717 0.717 0.566 Br
0.283 0.283 0.000 Br
0.717 0.717 0.000 Br
0.717 0.283 0.000 Br
0.283 0.717 0.000 Br
0.750 0.250 0.500 Rb
0.250 0.750 0.500 Rb
0.000 0.000 0.000 Rb
```

=====

Record 22
The following is a DFT calculation (GGA-PBE) of ZrAlTc after structural relaxation.

Offset from the most stable computed form (meV/atom): 544

The structure in POSCAR format:
```
ZrAlTc
1.0
-1.630 4.045 -0.577
-2.573 -3.198 1.580
2.917 -0.755 3.204
Zr Al Tc
1 1 1
Direct
0.944 0.972 0.917 Zr
0.944 0.472 0.417 Al
0.445 0.222 0.667 Tc
```

=====

Record 23
The following is a DFT calculation (GGA-PBE) of K2RbTlHg after structural relaxation.

Offset from the most stable computed form (meV/atom): 36

The structure in POSCAR format:
```
K2RbTlHg
1.0
6.884 0.000 0.000
0.000 6.884 0.000
0.000 0.000 5.894
K Tl Hg Rb
2 1 1 1
Direct
0.000 0.500 0.000 K
0.500 0.000 0.000 K
0.000 0.000 0.000 Tl
0.000 0.000 0.500 Hg
0.500 0.500 0.500 Rb
```

=====

Record 24
The following is a DFT calculation (GGA-PBE) of Sr5YS6 after structural relaxation.

Uncorrected formation energy (meV/atom): -2099.7

The structure in POSCAR format:
```
Sr5YS6
1.0
-2.356 4.010 -5.613
-7.153 -1.077 -0.931
-4.808 4.244 3.468
Y Sr S
1 5 6
Direct
0.000 0.000 0.000 Y
0.500 0.169 0.662 Sr
0.000 0.334 0.333 Sr
0.500 0.500 0.000 Sr
0.000 0.666 0.667 Sr
0.500 0.831 0.338 Sr
0.760 0.080 0.318 S
0.240 0.602 0.318 S
0.241 0.236 0.000 S
0.759 0.764 0.000 S
0.760 0.398 0.682 S
0.240 0.920 0.682 S
```

=====

no.,mass density (g/cm³)
1,5.0
2,9.7
3,7.7
4,10.1
5,3.7
6,7.6
7,9.2
8,8.1
9,4.9
10,6.6
11,5.6
12,8.6
13,15.6
14,7.2
15,9.0
16,7.0
17,6.4
18,8.4
19,15.6
20,9.9
21,3.6
22,6.0
23,3.4
24,3.8